[1]
First-principles (meta-GGA SCAN) data for a crystal of WAuBr4 relaxed with PBEsol, as listed in Alexandria via LeMat-Bulk.

Cell lengths 5.8438, 5.8438, 5.8438 Å; angles 60.00, 60.00, 60.00 degrees
Last column: nearest neighbours and their distance in Å.
Positions (direct):
Au (0.0000, 0.0000, 0.0000)  12 Br 3.43, 4 W 3.58
Br (0.3753, 0.3753, 0.3753)  6 Br 2.91-2.93
Br (0.3753, 0.3753, 0.8740)  6 Br 2.91-2.93
Br (0.8740, 0.3753, 0.3753)  6 Br 2.91-2.93
Br (0.3753, 0.8740, 0.3753)  6 Br 2.91-2.93
W (0.7500, 0.7500, 0.7500)  12 Br 3.43, 4 Au 3.58

## Properties
uncorrected energy	-34.3396	eV/atom
formation energy without anion corrections	1.7742	eV per atom
symmetry	F-43m


[2]
First-principles (meta-GGA SCAN) data for a crystal of Zn3Au4 relaxed with PBEsol, as listed in Alexandria via LeMat-Bulk.

Cell lengths 3.3117, 3.3117, 10.3039 Å; angles 99.25, 99.25, 90.00 degrees
Last column: nearest neighbours and their distance in Å.
Positions (direct):
Zn (0.0000, 0.0000, 0.0000)  8 Au 2.72
Zn (0.2867, 0.2867, 0.5734)  6 Au 2.63-2.89, 4 Zn 2.77
Zn (0.7133, 0.7133, 0.4266)  6 Au 2.63-2.89, 4 Zn 2.77
Au (0.1534, 0.1534, 0.3068)  5 Zn 2.63-2.68, 4 Au 2.89
Au (0.4306, 0.4306, 0.8612)  5 Zn 2.72-2.89, 5 Au 2.79-2.89
Au (0.5694, 0.5694, 0.1388)  5 Zn 2.72-2.89, 5 Au 2.79-2.89
Au (0.8466, 0.8466, 0.6932)  5 Zn 2.63-2.68, 4 Au 2.89

## Properties
uncorrected energy	-45.5139	eV/atom
symmetry	I4/mmm


[3]
First-principles (meta-GGA SCAN) data for a crystal of NaLi3Au relaxed with PBEsol, as listed in Alexandria via LeMat-Bulk.

Cell lengths 4.9418, 4.9418, 4.9418 Å; angles 90.00, 90.00, 90.00 degrees
Last column: nearest neighbours and their distance in Å.
Positions (direct):
Na (0.5000, 0.5000, 0.5000)  12 Li 3.49
Au (0.0000, 0.0000, 0.0000)  6 Li 2.47
Li (0.0000, 0.5000, 0.0000)  2 Au 2.47
Li (0.0000, 0.0000, 0.5000)  2 Au 2.47
Li (0.5000, 0.0000, 0.0000)  2 Au 2.47

## Properties
uncorrected energy	-16.3696	eV/atom
symmetry	Pm-3m


[4]
First-principles (meta-GGA SCAN) data for a crystal of BaTa2Ir relaxed with PBEsol, as listed in Alexandria via LeMat-Bulk.

Cell lengths 3.3536, 3.3536, 7.9651 Å; angles 90.00, 90.00, 90.00 degrees
Last column: nearest neighbours and their distance in Å.
Positions (direct):
Ir (0.5000, 0.5000, 0.5000)  8 Ta 2.70
Ba (0.5000, 0.5000, 0.0000)  4 Ba 3.35, 8 Ta 3.58
Ta (0.0000, 0.0000, 0.6626)  1 Ta 2.59, 4 Ir 2.70
Ta (0.0000, 0.0000, 0.3374)  1 Ta 2.59, 4 Ir 2.70

## Properties
uncorrected energy	-60.5760	eV/atom
distance to the lowest polymorph of the same formula	0.1886	eV/atom
symmetry	P4/mmm


[5]
First-principles (meta-GGA SCAN) data for a crystal of Sc3MnBi relaxed with PBEsol, as listed in Alexandria via LeMat-Bulk.

Cell lengths 5.3590, 5.3590, 5.3590 Å; angles 90.00, 90.00, 90.00 degrees
Last column: nearest neighbours and their distance in Å.
Positions (direct):
Sc (0.0000, 0.5000, 0.0000)  2 Bi 2.68
Sc (0.0000, 0.0000, 0.5000)  2 Bi 2.68
Sc (0.5000, 0.0000, 0.0000)  2 Bi 2.68
Mn (0.5000, 0.5000, 0.5000)  12 Sc 3.79
Bi (0.0000, 0.0000, 0.0000)  6 Sc 2.68

## Properties
uncorrected energy	-27.4209	eV/atom
symmetry	Pm-3m


[6]
First-principles (meta-GGA SCAN) data for a crystal of Te2MoW2S4 relaxed with PBEsol, as listed in Alexandria via LeMat-Bulk.

Cell lengths 3.2473, 3.2473, 20.3986 Å; angles 90.00, 90.00, 120.00 degrees
Last column: nearest neighbours and their distance in Å.
Positions (direct):
Te (0.6667, 0.3333, 0.9065)  3 Mo 2.67
Te (0.6667, 0.3333, 0.0935)  3 Mo 2.67
Mo (0.3333, 0.6667, 0.0000)  6 Te 2.67
W (0.6667, 0.3333, 0.3286)  6 S 2.42
W (0.6667, 0.3333, 0.6714)  6 S 2.42
S (0.3333, 0.6667, 0.4037)  3 W 2.42
S (0.3333, 0.6667, 0.7466)  3 W 2.42
S (0.3333, 0.6667, 0.2534)  3 W 2.42
S (0.3333, 0.6667, 0.5963)  3 W 2.42

## Properties
uncorrected energy	-32.4963	eV/atom
formation energy without anion corrections	-0.5767	eV per atom
symmetry	P-6m2


[7]
First-principles (meta-GGA SCAN) data for a crystal of YF3 relaxed with PBEsol, as listed in Alexandria via LeMat-Bulk.

Cell lengths 4.3579, 6.3323, 6.8267 Å; angles 90.00, 90.00, 90.00 degrees
Last column: nearest neighbours and their distance in Å.
Positions (direct):
Y (0.9382, 0.3688, 0.7500)  9 F 2.28-2.50
Y (0.4382, 0.1312, 0.2500)  9 F 2.28-2.50
Y (0.0618, 0.6312, 0.2500)  9 F 2.28-2.50
Y (0.5618, 0.8688, 0.7500)  9 F 2.28-2.50
F (0.4108, 0.5223, 0.7500)  3 Y 2.28-2.50
F (0.9108, 0.9777, 0.2500)  3 Y 2.28-2.50
F (0.5892, 0.4777, 0.2500)  3 Y 2.28-2.50
F (0.0892, 0.0223, 0.7500)  3 Y 2.28-2.50
F (0.6218, 0.1648, 0.9369)  3 Y 2.28-2.29, 2 F 2.50-2.55
F (0.1218, 0.3352, 0.0631)  3 Y 2.28-2.29, 2 F 2.50-2.55
F (0.3782, 0.8352, 0.4369)  3 Y 2.28-2.29, 2 F 2.50-2.55
F (0.8782, 0.6648, 0.5631)  3 Y 2.28-2.29, 2 F 2.50-2.55
F (0.3782, 0.8352, 0.0631)  3 Y 2.28-2.29, 2 F 2.50-2.55
F (0.8782, 0.6648, 0.9369)  3 Y 2.28-2.29, 2 F 2.50-2.55
F (0.6218, 0.1648, 0.5631)  3 Y 2.28-2.29, 2 F 2.50-2.55
F (0.1218, 0.3352, 0.4369)  3 Y 2.28-2.29, 2 F 2.50-2.55

## Properties
uncorrected energy	-14.0857	eV/atom
formation energy without anion corrections	-4.4700	eV per atom
symmetry	Pnma


[8]
First-principles (meta-GGA SCAN) data for a crystal of LaBi2ClO4 relaxed with PBEsol, as listed in Alexandria via LeMat-Bulk.

Cell lengths 3.9359, 3.9359, 8.9869 Å; angles 90.00, 90.00, 90.00 degrees
Last column: nearest neighbours and their distance in Å.
Positions (direct):
Cl (0.0000, 0.0000, 0.5000)  8 Bi 3.38, 8 O 3.58
Bi (0.5000, 0.5000, 0.2870)  4 O 2.24
Bi (0.5000, 0.5000, 0.7130)  4 O 2.24
O (0.0000, 0.5000, 0.1668)  2 Bi 2.24, 2 La 2.47
O (0.0000, 0.5000, 0.8332)  2 Bi 2.24, 2 La 2.47
O (0.5000, 0.0000, 0.1668)  2 Bi 2.24, 2 La 2.47
O (0.5000, 0.0000, 0.8332)  2 Bi 2.24, 2 La 2.47
La (0.0000, 0.0000, 0.0000)  8 O 2.47

## Properties
uncorrected energy	-31.2241	eV/atom
formation energy without anion corrections	-2.0782	eV per atom
symmetry	P4/mmm


[9]
First-principles (meta-GGA SCAN) data for a crystal of Ba2ScW relaxed with PBEsol, as listed in Alexandria via LeMat-Bulk.

Cell lengths 4.4742, 5.9603, 6.1027 Å; angles 119.23, 111.50, 90.00 degrees
Last column: nearest neighbours and their distance in Å.
Positions (direct):
Ba (0.9633, 0.9633, 0.9266)  4 W 3.40-3.74, 4 Ba 3.51-3.72
Ba (0.7710, 0.2710, 0.5419)  4 Ba 3.51-3.72, 4 Sc 3.57-3.64, 4 W 3.79
Sc (0.5679, 0.5679, 0.1358)  2 W 2.57
W (0.1978, 0.6978, 0.3956)  2 Sc 2.57

## Properties
uncorrected energy	-39.7357	eV/atom
distance to the lowest polymorph of the same formula	0.0000	eV/atom
symmetry	Imm2


[10]
First-principles (meta-GGA SCAN) data for a crystal of CsNbSn2Rh relaxed with PBEsol, as listed in Alexandria via LeMat-Bulk.

Cell lengths 4.7800, 5.4776, 5.4776 Å; angles 90.00, 90.00, 90.00 degrees
Last column: nearest neighbours and their distance in Å.
Positions (direct):
Cs (0.5000, 0.5000, 0.5000)  8 Sn 3.64, 4 Rh 3.87
Nb (0.0000, 0.0000, 0.0000)  2 Rh 2.39
Rh (0.5000, 0.0000, 0.0000)  2 Nb 2.39
Sn (0.0000, 0.0000, 0.5000)  2 Nb 2.74
Sn (0.0000, 0.5000, 0.0000)  2 Nb 2.74

## Properties
uncorrected energy	-34.9220	eV/atom
symmetry	P4/mmm


[11]
First-principles (meta-GGA SCAN) data for a crystal of LaGaTe3 relaxed with PBEsol, as listed in Alexandria via LeMat-Bulk.

Cell lengths 6.0566, 6.0566, 6.0566 Å; angles 90.00, 90.00, 90.00 degrees
Last column: nearest neighbours and their distance in Å.
Positions (direct):
Te (0.0000, 0.5000, 0.0000)  2 La 3.03
Te (0.0000, 0.0000, 0.5000)  2 La 3.03
Te (0.5000, 0.0000, 0.0000)  2 La 3.03
Ga (0.5000, 0.5000, 0.5000)  12 Te 4.28
La (0.0000, 0.0000, 0.0000)  6 Te 3.03

## Properties
uncorrected energy	-34.4462	eV/atom
formation energy without anion corrections	-0.2052	eV per atom
symmetry	Pm-3m


[12]
First-principles (meta-GGA SCAN) data for a crystal of TeBrN2 relaxed with PBEsol, as listed in Alexandria via LeMat-Bulk.

Cell lengths 3.4511, 3.4511, 6.6386 Å; angles 74.95, 74.95, 60.02 degrees
Last column: nearest neighbours and their distance in Å.
Positions (direct):
Te (0.5000, 0.5000, 0.5000)  6 N 2.26
Br (0.0000, 0.0000, 0.0000)  2 N 2.10
N (0.8893, 0.8893, 0.3322)  1 Br 2.10, 3 Te 2.26
N (0.1107, 0.1107, 0.6678)  1 Br 2.10, 3 Te 2.26

## Properties
uncorrected energy	-17.6894	eV/atom
formation energy without anion corrections	1.1339	eV per atom
symmetry	R-3m